No. 1
# Sc2Cd5Au PBE-GGA optimized geometry
data_Sc2Cd5Au
_cell_length_a 4.899
_cell_length_b 4.899
_cell_length_c 8.649
_cell_angle_alpha 73.55
_cell_angle_beta 73.55
_cell_angle_gamma 60.00
_space_group_name_H-M_alt 'P 1'
_space_group_IT_number 1
loop_
_space_group_symop_operation_xyz
'x,y,z'
loop_
_atom_site_label
_atom_site_type_symbol
_atom_site_fract_x
_atom_site_fract_y
_atom_site_fract_z
Cd1 Cd 0.247 0.247 0.258
Cd2 Cd 0.626 0.626 0.122
Sc1 Sc 0.878 0.878 0.365
Cd3 Cd 0.753 0.753 0.742
Cd4 Cd 0.500 0.500 0.500
Cd5 Cd 0.374 0.374 0.878
Sc2 Sc 0.122 0.122 0.635
Au1 Au 0.000 0.000 0.000
# ΔE_f = -1.8 eV/f.u.
# D(E_F) = 5.0 states/eV per cell
# space-group type = R-3m, No. 166

No. 2
# Ca2In6CuPd PBE-GGA optimized geometry
data_Ca2In6CuPd
_cell_length_a 7.302
_cell_length_b 7.302
_cell_length_c 7.302
_cell_angle_alpha 60.00
_cell_angle_beta 60.00
_cell_angle_gamma 90.00
_space_group_name_H-M_alt 'P 1'
_space_group_IT_number 1
loop_
_space_group_symop_operation_xyz
'x,y,z'
loop_
_atom_site_label
_atom_site_type_symbol
_atom_site_fract_x
_atom_site_fract_y
_atom_site_fract_z
In1 In 0.255 0.745 0.000
Ca1 Ca 0.750 0.250 0.500
Cu1 Cu 0.500 0.500 0.000
In2 In 0.745 0.745 0.000
In3 In 0.255 0.255 0.490
In4 In 0.745 0.255 0.000
Pd1 Pd 0.000 0.000 0.000
In5 In 0.255 0.255 0.000
Ca2 Ca 0.250 0.750 0.500
In6 In 0.745 0.745 0.510
# ΔE_f = -1.4 eV/f.u.
# D(E_F) = 7.5 states/eV per cell
# space-group type = Fm-3m, No. 225

No. 3
# ScIrRh2Pb PBE-GGA optimized geometry
data_ScIrRh2Pb
_cell_length_a 4.835
_cell_length_b 5.244
_cell_length_c 4.835
_cell_angle_alpha 90.00
_cell_angle_beta 90.00
_cell_angle_gamma 90.00
_space_group_name_H-M_alt 'P 1'
_space_group_IT_number 1
loop_
_space_group_symop_operation_xyz
'x,y,z'
loop_
_atom_site_label
_atom_site_type_symbol
_atom_site_fract_x
_atom_site_fract_y
_atom_site_fract_z
Rh1 Rh 0.500 0.000 0.000
Sc1 Sc 0.000 0.500 0.000
Rh2 Rh 0.000 0.000 0.500
Pb1 Pb 0.000 0.000 0.000
Ir1 Ir 0.500 0.500 0.500
# ΔE_f = 7.9 eV/f.u.
# D(E_F) = 5.9 states/eV per cell
# space-group type = P4/mmm, No. 123